[1]
{"formula": "KBa2Br2", "functional": "PBE", "state": "optimized geometry", "lattice": [[-3.490, 4.468, 0.745], [-3.280, -1.844, -4.305], [-7.784, -2.990, 3.413]], "species": ["Br", "Br", "Ba", "Ba", "K"], "fractional_positions": [[0.750, 0.250, 0.500], [0.250, 0.750, 0.500], [0.643, 0.643, 0.715], [0.357, 0.357, 0.285], [0.000, 0.000, 0.000]], "e_above_lowest_polymorph_ev_per_atom": 0.0000, "raw_formation_energy_ev_per_fu": -6.04}

[2]
{"formula": "CsSbSe", "functional": "PBE", "state": "optimized geometry", "lattice": [[-2.548, -6.660, -2.421], [0.306, -1.634, -4.178], [5.791, -4.458, 9.421]], "species": ["Sb", "Sb", "Se", "Se", "Cs", "Cs"], "fractional_positions": [[0.893, 0.276, 0.946], [0.107, 0.724, 0.054], [0.835, 0.403, 0.325], [0.165, 0.597, 0.675], [0.662, 0.585, 0.665], [0.338, 0.415, 0.335]], "e_above_lowest_polymorph_ev_per_atom": 0.0000, "raw_formation_energy_ev_per_fu": -2.10}

[3]
{"formula": "Sb2TeRuI", "functional": "PBE", "state": "optimized geometry", "lattice": [[5.755, 0.000, 0.000], [0.000, 5.755, 0.000], [0.000, 0.000, 5.653]], "species": ["Te", "I", "Sb", "Sb", "Ru"], "fractional_positions": [[0.000, 0.000, 0.500], [0.000, 0.000, 0.000], [0.500, 0.000, 0.000], [0.000, 0.500, 0.000], [0.500, 0.500, 0.500]], "e_above_lowest_polymorph_ev_per_atom": 1.4544, "raw_formation_energy_ev_per_fu": 9.08}

[4]
{"formula": "AlPtSeO2", "functional": "PBE", "state": "optimized geometry", "lattice": [[-1.992, -2.353, -2.428], [1.962, -4.247, 2.506], [-3.054, 0.043, 2.464]], "species": ["O", "O", "Se", "Al", "Pt"], "fractional_positions": [[0.500, 0.000, 0.000], [0.000, 0.000, 0.500], [0.000, 0.500, 0.000], [0.500, 0.500, 0.500], [0.000, 0.000, 0.000]], "raw_formation_energy_ev_per_fu": -0.28}

[5]
{"formula": "CsV3As", "functional": "PBE", "state": "optimized geometry", "lattice": [[-3.132, -0.615, 3.553], [-3.482, -0.710, -3.191], [0.939, -4.683, 0.017]], "species": ["V", "V", "V", "Cs", "As"], "fractional_positions": [[0.500, 0.000, 0.000], [0.000, 0.500, 0.000], [0.000, 0.000, 0.500], [0.000, 0.000, 0.000], [0.500, 0.500, 0.500]], "e_above_lowest_polymorph_ev_per_atom": 1.5198, "delta_e_f_mev_per_atom": 2563}

[6]
{"formula": "HoUOs", "functional": "PBE", "state": "optimized geometry", "lattice": [[-2.855, -4.918, -0.835], [2.868, -4.971, -0.313], [-1.186, -4.797, 12.529]], "species": ["Os", "Os", "Os", "Os", "Os", "Os", "Ho", "Ho", "Ho", "Ho", "Ho", "Ho", "U", "U", "U", "U", "U", "U"], "fractional_positions": [[0.783, 0.280, 0.658], [0.280, 0.783, 0.658], [0.217, 0.720, 0.342], [0.280, 0.280, 0.658], [0.720, 0.720, 0.342], [0.720, 0.217, 0.342], [0.821, 0.821, 0.537], [0.744, 0.744, 0.769], [0.050, 0.050, 0.850], [0.256, 0.256, 0.231], [0.950, 0.950, 0.150], [0.179, 0.179, 0.463], [0.500, 0.500, 0.000], [0.500, 0.000, 0.000], [0.500, 0.500, 0.500], [0.394, 0.394, 0.819], [0.000, 0.500, 0.000], [0.606, 0.606, 0.181]], "e_above_lowest_polymorph_ev_per_atom": 0.0000, "delta_e_f_mev_per_atom": -123}

[7]
{"formula": "Sr2Au", "functional": "PBE", "state": "optimized geometry", "lattice": [[-3.217, -2.985, -1.197], [5.124, -4.948, -1.434], [-0.379, -2.475, 7.189]], "species": ["Sr", "Sr", "Sr", "Sr", "Au", "Au"], "fractional_positions": [[0.000, 0.260, 0.670], [0.500, 0.240, 0.170], [0.000, 0.740, 0.330], [0.500, 0.760, 0.830], [0.500, 0.500, 0.500], [0.000, 0.000, 0.000]], "delta_e_f_mev_per_atom": -567}

[8]
{"formula": "CaVAg2S4", "functional": "PBE", "state": "optimized geometry", "lattice": [[-5.300, 0.649, -2.741], [0.402, -5.619, -2.073], [-0.041, 0.687, 6.797]], "species": ["Ag", "Ag", "V", "S", "S", "S", "S", "Ca"], "fractional_positions": [[0.250, 0.750, 0.500], [0.750, 0.250, 0.500], [0.500, 0.500, 0.000], [0.165, 0.165, 0.759], [0.834, 0.407, 0.241], [0.407, 0.834, 0.241], [0.594, 0.594, 0.759], [0.001, 0.001, 0.002]], "raw_formation_energy_ev_per_fu": -6.23}

Per-record total magnetization, μB/atom: 0.000 0.000 0.521 0.170 0.000 0.210 0.000 0.125